PuScCuRh: optimized geometry, PBE.

Properties
- Total moment: 5.59 μB/f.u.
- Electronic total energy: -8.36 eV/atom
- Calculated volume: 19.02 A^3/atom
- Space-group type: F-43m (216)
- ρ: 9.94 g/cm3

abc: 4.7559 4.7559 4.7559
angles: 60.00 60.00 60.00
Site moments in Bohr magnetons follow the coordinates.
Positions (direct):
Sc1 0.0000 0.0000 0.0000  0.16
Rh1 0.7500 0.7500 0.7500  -0.17
Cu1 0.2500 0.2500 0.2500  0.05
Pu1 0.5000 0.5000 0.5000  5.16



InTeSe2: optimized geometry, PBE.

Properties
- Total moment: 0.00 μB/f.u.
- Electronic total energy: -3.04 eV/atom
- Calculated volume: 28.31 A^3/atom
- Energy above the lowest structure with this stoichiometry: 151 kJ/mol of formula units
- Space-group type: Pmmm (47)
- ρ: 5.87 g/cm3

abc: 4.3636 4.3740 5.9340
angles: 90.00 90.00 90.00
Positions (direct):
In1 0.5000 0.5000 0.7500
Se1 0.0000 0.0000 0.9510
Se2 0.0000 0.0000 0.5490
Te1 0.5000 0.5000 0.2500



NaLaZr2Re: optimized geometry, PBE.

Properties
- Total moment: 0.00 μB/f.u.
- Electronic total energy: -5.05 eV/atom
- Calculated volume: 25.70 A^3/atom
- Energy above the lowest structure with this stoichiometry: 265 kJ/mol of formula units
- Space-group type: P4/mmm (123)
- ρ: 6.86 g/cm3

abc: 5.1330 4.8770 5.1330
angles: 90.00 90.00 90.00
Positions (direct):
Re1 0.5000 0.5000 0.5000
Na1 0.0000 0.5000 0.0000
Zr1 0.0000 0.0000 0.5000
Zr2 0.5000 0.0000 0.0000
La1 0.0000 0.0000 0.0000



U2SnB2Ru5: optimized geometry, PBE.

Properties
- Total moment: 2.23 μB/f.u.
- Electronic total energy: -9.08 eV/atom
- Calculated volume: 14.86 A^3/atom
- Space-group type: P4/mbm (127)
- ρ: 12.54 g/cm3

abc: 3.1655 9.6887 9.6887
angles: 90.00 90.00 90.00
Site moments in Bohr magnetons follow the coordinates.
Positions (direct):
U1 0.0000 0.6766 0.1766  1.34
U2 0.0000 0.3234 0.8234  1.34
U3 0.0000 0.1766 0.3234  1.34
U4 0.0000 0.8234 0.6766  1.34
Sn1 0.0000 0.0000 0.0000  0.00
Sn2 0.0000 0.5000 0.5000  0.00
B1 0.0000 0.1199 0.6199  0.00
B2 0.0000 0.8801 0.3801  0.00
B3 0.0000 0.6199 0.8801  0.00
B4 0.0000 0.3801 0.1199  0.00
Ru1 0.5000 0.2243 0.0716  -0.12
Ru2 0.5000 0.7757 0.9284  -0.12
Ru3 0.5000 0.0716 0.7757  -0.12
Ru4 0.5000 0.7243 0.4284  -0.12
Ru5 0.5000 0.9284 0.2243  -0.12
Ru6 0.5000 0.2757 0.5716  -0.12
Ru7 0.5000 0.5716 0.7243  -0.12
Ru8 0.5000 0.4284 0.2757  -0.12
Ru9 0.5000 0.5000 0.0000  -0.15
Ru10 0.5000 0.0000 0.5000  -0.15



LiTlCuSn: optimized geometry, PBE.

Properties
- Total moment: 0.00 μB/f.u.
- Electronic total energy: -3.11 eV/atom
- Calculated volume: 20.04 A^3/atom
- Space-group type: F-43m (216)
- ρ: 8.15 g/cm3

abc: 4.8401 4.8401 4.8401
angles: 60.00 60.00 60.00
Positions (direct):
Tl1 0.7500 0.7500 0.7500
Sn1 0.2500 0.2500 0.2500
Cu1 0.5000 0.5000 0.5000
Li1 0.0000 0.0000 0.0000



ThZrNi2: optimized geometry, PBE.

Properties
- Total moment: 0.00 μB/f.u.
- Electronic total energy: -7.23 eV/atom
- Calculated volume: 20.01 A^3/atom
- Energy above the lowest structure with this stoichiometry: 20 kJ/mol of formula units
- Space-group type: P2_1/m (11)
- ρ: 9.14 g/cm3

abc: 4.4556 5.2551 7.0409
angles: 103.78 90.00 90.00
Positions (direct):
Th1 0.2500 0.2833 0.1446
Th2 0.7500 0.7167 0.8554
Zr1 0.7500 0.8206 0.3742
Zr2 0.2500 0.1794 0.6258
Ni1 0.2500 0.7908 0.1670
Ni2 0.7500 0.2092 0.8330
Ni3 0.7500 0.3545 0.4816
Ni4 0.2500 0.6455 0.5184



CdIn2AgO: optimized geometry, PBE.

Properties
- Total moment: 0.00 μB/f.u.
- Electronic total energy: -2.93 eV/atom
- Calculated volume: 21.62 A^3/atom
- Space-group type: P4/mmm (123)
- ρ: 7.16 g/cm3

abc: 4.9656 4.3835 4.9656
angles: 90.00 90.00 90.00
Positions (direct):
Cd1 0.0000 0.5000 0.0000
O1 0.0000 0.0000 0.0000
Ag1 0.5000 0.5000 0.5000
In1 0.0000 0.0000 0.5000
In2 0.5000 0.0000 0.0000



SnIr2SeS: optimized geometry, PBE.

Properties
- Total moment: 0.00 μB/f.u.
- Electronic total energy: -4.91 eV/atom
- Calculated volume: 22.05 A^3/atom
- Space-group type: P4/mmm (123)
- ρ: 9.25 g/cm3

abc: 4.5710 5.2760 4.5710
angles: 90.00 90.00 90.00
Positions (direct):
S1 0.0000 0.5000 0.0000
Ir1 0.0000 0.0000 0.5000
Ir2 0.5000 0.0000 0.0000
Sn1 0.5000 0.5000 0.5000
Se1 0.0000 0.0000 0.0000



As2RhAu: optimized geometry, PBE.

Properties
- Total moment: 0.00 μB/f.u.
- Electronic total energy: -4.97 eV/atom
- Calculated volume: 17.75 A^3/atom
- Space-group type: C2/m (12)
- ρ: 10.52 g/cm3

abc: 4.1821 4.1821 5.9866
angles: 80.01 80.01 43.66
Positions (direct):
Rh1 0.2500 0.2500 0.2500
As1 0.9853 0.9853 0.0330
As2 0.5147 0.5147 0.4670
Au1 0.7500 0.7500 0.7500



Ni9S8: optimized geometry, PBE.

Properties
- Total moment: 0.00 μB/f.u.
- Electronic total energy: -5.38 eV/atom
- Calculated volume: 14.27 A^3/atom
- Space-group type: C222 (21)
- ρ: 5.37 g/cm3

abc: 7.2514 7.2514 9.3849
angles: 90.00 90.00 100.58
Positions (direct):
Ni1 0.5409 0.7098 0.3750
Ni2 0.4591 0.2902 0.3750
Ni3 0.7098 0.5409 0.6250
Ni4 0.2902 0.4591 0.6250
Ni5 0.5000 0.5000 0.0000
Ni6 0.0000 0.0000 0.2153
Ni7 0.0000 0.0000 0.7847
Ni8 0.2235 0.2235 0.0000
Ni9 0.7765 0.7765 0.0000
Ni10 0.0000 0.0000 0.5000
Ni11 0.6877 0.0575 0.1221
Ni12 0.3123 0.9425 0.1221
Ni13 0.0575 0.6877 0.8779
Ni14 0.9425 0.3123 0.8779
Ni15 0.0000 0.5000 0.2693
Ni16 0.5000 0.0000 0.7307
Ni17 0.7649 0.2351 0.5000
Ni18 0.2351 0.7649 0.5000
S1 0.0336 0.7308 0.1190
S2 0.9664 0.2692 0.1190
S3 0.7308 0.0336 0.8810
S4 0.2692 0.9664 0.8810
S5 0.7512 0.9808 0.3607
S6 0.2488 0.0192 0.3607
S7 0.9808 0.7512 0.6393
S8 0.0192 0.2488 0.6393
S9 0.5165 0.7479 0.1362
S10 0.4835 0.2521 0.1362
S11 0.7479 0.5165 0.8638
S12 0.2521 0.4835 0.8638
S13 0.7416 0.4967 0.3857
S14 0.2584 0.5033 0.3857
S15 0.4967 0.7416 0.6143
S16 0.5033 0.2584 0.6143



Ce2AsPd: optimized geometry, PBE.

Properties
- Total moment: 1.72 μB/f.u.
- Electronic total energy: -5.82 eV/atom
- Calculated volume: 27.17 A^3/atom
- Space-group type: R-3m (166)
- ρ: 7.05 g/cm3

abc: 3.7155 3.7155 9.3384
angles: 78.53 78.53 60.00
Site moments in Bohr magnetons follow the coordinates.
Positions (direct):
As1 0.5000 0.5000 0.5000  -0.03
Pd1 0.0000 0.0000 0.0000  -0.03
Ce1 0.0972 0.0972 0.7085  0.71
Ce2 0.9028 0.9028 0.2915  0.71